First-principles (PBE with a Hubbard U) data for an optimized crystal structure of Li2MnO2F, as listed in Alexandria.

Output
Uncorrected energy (eV per atom): -5.96
ρ (Mg/m³): 3.30
SG: Cmcm

abc: 5.1785 5.1785 6.3493
angles: 90.00 90.00 134.92
Element x y z (fractional)
Li 0.1259 0.8741 0.7500
Li 0.1674 0.8326 0.2500
Li 0.8326 0.1674 0.7500
Li 0.8741 0.1259 0.2500
Mn 0.5000 0.5000 0.0000
Mn 0.5000 0.5000 0.5000
O 0.0000 0.0000 0.0000
O 0.0000 0.0000 0.5000
O 0.3817 0.6183 0.2500
O 0.6183 0.3817 0.7500
F 0.3296 0.6704 0.7500
F 0.6704 0.3296 0.2500